No. 1
A relaxed Ca4Ga3Ni crystal. Source: the Alexandria database, functional PBE.

Properties
* total energy: -3.25 eV/atom
* crystal system: orthorhombic
* energy of formation from the pure elements: -3.12 eV per formula unit

Cell: 4.197 4.330 11.215 Å, 90.00 90.00 90.00°
Space group Pmm2 (No. 25)
Unique sites:
Ca: 0.000 0.000 0.000 x1
Ca: 0.000 0.500 0.280 x1
Ca: 0.500 0.000 0.486 x1
Ca: 0.500 0.500 0.783 x1
Ga: 0.000 0.000 0.705 x1
Ga: 0.000 0.500 0.567 x1
Ga: 0.500 0.500 0.083 x1
Ni: 0.500 0.000 0.183 x1

---

No. 2
A relaxed Li2ZnPb crystal. Source: the Alexandria database, functional PBE.

Properties
* total energy: -2.19 eV/atom
* crystal system: trigonal
* energy of formation from the pure elements: 0.03 eV per formula unit

Cell: 3.2720 3.2720 28.5575 Å, 90.00 90.00 120.00°
Space group R3m (No. 160, hexagonal axes)
Unique sites:
Li: 0.0000 0.0000 0.0000 x3
Li: 0.0000 0.0000 0.2470 x3
Zn: 0.0000 0.0000 0.7364 x3
Pb: 0.0000 0.0000 0.4943 x3

---

No. 3
A relaxed BeCuRh2 crystal. Source: the Alexandria database, functional PBE.

Properties
* total energy: -5.79 eV/atom
* crystal system: trigonal
* energy of formation from the pure elements: -0.62 eV per formula unit

Cell: 2.7045 2.7045 23.5985 Å, 90.00 90.00 120.00°
Space group R-3m (No. 166, hexagonal axes)
Unique sites:
Be: 0.0000 0.0000 0.0000 x3
Cu: 0.0000 0.0000 0.5000 x3
Rh: 0.0000 0.0000 0.2586 x6

---

No. 4
A relaxed MnInIBr2 crystal. Source: the Alexandria database, functional PBE.

Properties
* total energy: -3.97 eV/atom
* crystal system: monoclinic
* uncorrected formation energy: -0.607 eV per atom

Cell: 7.241 4.377 12.845 Å, 90.00 101.93 90.00°
Space group P2_1/m (No. 11)
Unique sites:
Mn: 0.156 0.250 0.198 x2
In: 0.234 0.250 0.666 x2
I: 0.499 0.750 0.841 x2
Br: 0.019 0.250 0.872 x2
Br: 0.122 0.250 0.386 x2

---

No. 5
A relaxed Pu3SiPd3 crystal. Source: the Alexandria database, functional PBE.

Properties
* total energy: -9.57 eV/atom
* crystal system: orthorhombic
* uncorrected formation energy: -0.431 eV per atom

Cell: 3.778 4.285 18.794 Å, 90.00 90.00 90.00°
Space group Imm2 (No. 44)
Unique sites:
Pu: 0.000 0.000 0.000 x2
Pu: 0.000 0.000 0.374 x2
Pu: 0.000 0.500 0.189 x2
Si: 0.000 0.500 0.754 x2
Pd: 0.000 0.000 0.534 x2
Pd: 0.000 0.000 0.828 x2
Pd: 0.000 0.500 0.626 x2

---

No. 6
A relaxed CuIr2Br crystal. Source: the Alexandria database, functional PBE.

Properties
* total energy: -5.15 eV/atom
* crystal system: trigonal
* uncorrected formation energy: 0.718 eV per atom

Cell: 2.9042 2.9042 25.1850 Å, 90.00 90.00 120.00°
Space group R-3m (No. 166, hexagonal axes)
Unique sites:
Cu: 0.0000 0.0000 0.0000 x3
Ir: 0.0000 0.0000 0.2540 x6
Br: 0.0000 0.0000 0.5000 x3

---

No. 7
A relaxed HoTmSb crystal. Source: the Alexandria database, functional PBE.

Properties
* total energy: -4.79 eV/atom
* crystal system: trigonal
* uncorrected formation energy: -0.402 eV per atom

Cell: 5.0462 5.0462 3.8644 Å, 90.00 90.00 120.00°
Space group P3m1 (No. 156)
Unique sites:
Ho: 0.0000 0.0000 0.0000 x1
Tm: 0.3333 0.6667 0.4692 x1
Sb: 0.6667 0.3333 0.7156 x1

---

No. 8
A relaxed Te3Cl crystal. Source: the Alexandria database, functional PBE.

Properties
* total energy: -2.83 eV/atom
* crystal system: monoclinic
* uncorrected formation energy: -0.009 eV per atom

Cell: 3.251 4.223 8.900 Å, 90.00 90.81 90.00°
Space group P2/m (No. 10)
Unique sites:
Te: 0.000 0.000 0.000 x1
Te: 0.004 0.500 0.251 x2
Cl: 0.000 0.000 0.500 x1

---

No. 9
A relaxed ZrNbNi6 crystal. Source: the Alexandria database, functional PBE.

Properties
* total energy: -7.03 eV/atom
* crystal system: hexagonal
* energy of formation from the pure elements: -2.91 eV per formula unit

Cell: 5.2296 5.2296 4.3355 Å, 90.00 90.00 120.00°
Space group P-6m2 (No. 187)
Unique sites:
Zr: 0.0000 0.0000 0.0000 x1
Nb: 0.6667 0.3333 0.5000 x1
Ni: 0.0082 0.5041 0.0000 x3
Ni: 0.1758 0.3516 0.5000 x3

---

No. 10
A relaxed TlAg3Pd2 crystal. Source: the Alexandria database, functional PBE.

Properties
* total energy: -3.53 eV/atom
* crystal system: monoclinic
* energy of formation from the pure elements: 0.10 eV per formula unit

Cell: 7.290 9.448 6.970 Å, 90.00 108.50 90.00°
Space group C2/c (No. 15)
Unique sites:
Tl: 0.000 0.139 0.250 x4
Ag: 0.000 0.450 0.250 x4
Ag: 0.219 0.103 0.949 x8
Pd: 0.114 0.291 0.617 x8

---

No. 11
A relaxed Th4GeSbSe2 crystal. Source: the Alexandria database, functional PBE.

Properties
* total energy: -6.86 eV/atom
* crystal system: tetragonal
* uncorrected formation energy: -1.187 eV per atom

Cell: 6.110 6.110 12.194 Å, 90.00 90.00 90.00°
Space group I4/mmm (No. 139)
Unique sites:
Th: 0.000 0.000 0.241 x4
Th: 0.000 0.500 0.000 x4
Ge: 0.000 0.000 0.000 x2
Sb: 0.000 0.000 0.500 x2
Se: 0.000 0.500 0.250 x4

---

No. 12
A relaxed BaAcBi crystal. Source: the Alexandria database, functional PBE.

Properties
* total energy: -3.72 eV/atom
* crystal system: hexagonal
* energy of formation from the pure elements: -1.23 eV per formula unit

Cell: 5.7307 5.7307 4.8646 Å, 90.00 90.00 120.00°
Space group P-6m2 (No. 187)
Unique sites:
Ba: 0.0000 0.0000 0.0000 x1
Ac: 0.6667 0.3333 0.5000 x1
Bi: 0.3333 0.6667 0.5000 x1